Entry 1:
# KSCl3

A relaxed KSCl3 crystal (PBE, Alexandria via LeMat-Bulk).

**ΔE_f (raw)**: 0.205 eV per atom
**Energy**: -1.95 eV per atom
**Mass density**: 1.4 g/cm3
**Relative energy among the computed polymorphs**: 1011 meV/atom

```
5
Lattice="5.924 0.000 0.000 0.000 5.924 0.000 0.000 0.000 5.924" Properties=species:S:1:pos:R:3 pbc="T T T"
K 0.000 0.000 0.000
S 2.962 2.962 2.962
Cl 0.000 0.000 2.962
Cl 0.000 2.962 0.000
Cl 2.962 0.000 0.000
```

Entry 2:
# K12S3Cl5

A relaxed K12S3Cl5 crystal (PBE, Alexandria via LeMat-Bulk).

**ΔE_f (raw)**: -1.343 eV per atom
**Energy**: -3.08 eV per atom
**Mass density**: 1.6 g/cm3

```
80
Lattice="-9.206 9.206 9.206 9.206 -9.206 9.206 9.206 9.206 -9.206" Properties=species:S:1:pos:R:3 pbc="T T T"
K 2.866 -0.313 1.324
K 10.943 5.927 -4.916
K 8.894 -1.324 2.866
K 14.122 -1.737 3.279
K 12.073 0.313 1.324
K 10.943 -3.279 4.916
K 1.324 2.866 -0.313
K 12.486 4.291 -1.737
K 5.927 4.916 -1.737
K 7.883 2.866 0.313
K -0.313 1.324 2.866
K 4.916 -1.737 5.927
K 8.894 7.883 -2.866
K 4.916 1.737 3.279
K 7.883 -2.866 8.894
K 5.927 -4.916 10.943
K 3.279 4.916 1.737
K 10.530 6.340 0.313
K 2.866 8.894 -1.324
K 10.943 3.279 4.291
K 4.916 10.943 -3.279
K 8.894 1.324 6.340
K 1.737 3.279 4.916
K 2.866 0.313 7.883
K 6.340 8.894 1.324
K 7.469 5.927 4.291
K 0.313 7.883 2.866
K 4.291 -1.737 12.486
K -1.737 5.927 4.916
K 6.340 0.313 10.530
K -1.324 2.866 8.894
K 5.927 4.291 7.469
K 3.279 14.122 -1.737
K 1.324 12.073 0.313
K 4.291 7.469 5.927
K 0.313 1.324 12.073
K 4.291 10.943 3.279
K 9.519 7.883 6.340
K 1.324 6.340 8.894
K 3.279 4.291 10.943
K -3.279 4.916 10.943
K 7.883 6.340 9.519
K -1.737 12.486 4.291
K -2.866 8.894 7.883
K -4.916 10.943 5.927
K 0.313 10.530 6.340
K -1.737 3.279 14.122
K 6.340 9.519 7.883
S 4.603 2.302 0.000
S 9.206 4.603 -2.302
S 2.302 0.000 4.603
S 11.508 0.000 4.603
S 0.000 4.603 2.302
S 4.603 -2.302 9.206
S 4.603 11.508 0.000
S 9.206 4.603 6.905
S -2.302 9.206 4.603
S 6.905 9.206 4.603
S 0.000 4.603 11.508
S 4.603 6.905 9.206
Cl 0.000 0.000 0.000
Cl 4.603 4.603 -4.603
Cl 4.603 -4.603 4.603
Cl 9.206 0.000 0.000
Cl 13.809 2.302 0.000
Cl 9.206 -4.603 6.905
Cl 6.905 9.206 -4.603
Cl 6.905 0.000 4.603
Cl 4.603 6.905 0.000
Cl 9.206 4.603 2.302
Cl -4.603 4.603 4.603
Cl 0.000 9.206 0.000
Cl 0.000 0.000 9.206
Cl 4.603 4.603 4.603
Cl 0.000 4.603 6.905
Cl 4.603 2.302 9.206
Cl 2.302 9.206 4.603
Cl 2.302 0.000 13.809
Cl 0.000 13.809 2.302
Cl -4.603 6.905 9.206
```

Entry 3:
# KSCl3

A relaxed KSCl3 crystal (PBE, Alexandria via LeMat-Bulk).

**ΔE_f (raw)**: -0.806 eV per atom
**Energy**: -2.96 eV per atom
**Mass density**: 1.8 g/cm3
**Relative energy among the computed polymorphs**: 0 meV/atom

```
20
Lattice="8.548 0.000 0.000 0.000 7.820 0.000 -2.691 0.000 9.874" Properties=species:S:1:pos:R:3 pbc="T T T"
K 1.240 0.822 1.830
K -0.106 3.088 6.767
K 5.962 4.732 3.107
K 4.616 6.998 8.044
S 1.402 4.847 1.557
S 0.056 6.883 6.494
S 5.800 0.937 3.380
S 4.454 2.973 8.317
Cl -1.987 1.548 8.700
Cl -0.641 2.361 3.763
Cl -0.410 5.520 9.712
Cl 0.936 6.210 4.775
Cl 1.687 0.401 7.155
Cl 3.032 3.509 2.218
Cl 2.824 4.311 7.656
Cl 4.170 7.419 2.719
Cl 4.920 1.610 5.099
Cl 6.266 2.300 0.162
Cl 6.497 5.458 6.111
Cl 7.843 6.271 1.174
```

Entry 4:
# K2SCl2

A relaxed K2SCl2 crystal (PBE, Alexandria via LeMat-Bulk).

**ΔE_f (raw)**: -1.179 eV per atom
**Energy**: -3.18 eV per atom
**Mass density**: 1.9 g/cm3
**Relative energy among the computed polymorphs**: 0 meV/atom

```
5
Lattice="-3.063 3.063 4.199 3.063 -3.063 4.199 3.063 3.063 -4.199" Properties=species:S:1:pos:R:3 pbc="T T T"
K 3.063 0.000 2.099
K 0.000 3.063 2.099
S 0.000 0.000 0.000
Cl 0.000 0.000 2.436
Cl 0.000 0.000 5.962
```

Entry 5:
# K3SCl

A relaxed K3SCl crystal (PBE, Alexandria via LeMat-Bulk).

**ΔE_f (raw)**: -1.235 eV per atom
**Energy**: -3.09 eV per atom
**Mass density**: 1.4 g/cm3
**Relative energy among the computed polymorphs**: 0 meV/atom

```
5
Lattice="5.969 0.000 0.000 0.000 5.969 0.000 0.000 0.000 5.969" Properties=species:S:1:pos:R:3 pbc="T T T"
K 0.000 0.000 2.985
K 0.000 2.985 0.000
K 2.985 0.000 0.000
S 0.000 0.000 0.000
Cl 2.985 2.985 2.985
```

Entry 6:
# K5SbS4Cl2

A relaxed K5SbS4Cl2 crystal (PBE, Alexandria via LeMat-Bulk).

**ΔE_f (raw)**: -1.219 eV per atom
**Energy**: -3.70 eV per atom
**Mass density**: 2.1 g/cm3

```
12
Lattice="9.427 0.000 0.000 0.000 5.745 3.820 0.000 -5.745 3.820" Properties=species:S:1:pos:R:3 pbc="T T T"
K 0.000 0.000 0.000
K 2.414 -2.261 3.847
K 2.414 2.261 3.847
K 7.013 -2.261 3.847
K 7.013 2.261 3.847
Sb 4.713 0.000 0.014
S 2.786 0.000 1.383
S 4.713 -1.880 6.214
S 4.713 1.880 6.214
S 6.640 0.000 1.383
Cl 0.000 -2.461 5.803
Cl 0.000 2.461 5.803
```

Entry 7:
# KSbS2Cl

A relaxed KSbS2Cl crystal (PBE, Alexandria via LeMat-Bulk).

**ΔE_f (raw)**: -0.616 eV per atom
**Energy**: -3.68 eV per atom
**Mass density**: 3.0 g/cm3
**Relative energy among the computed polymorphs**: 0 meV/atom

```
5
Lattice="5.100 0.000 0.000 0.000 5.100 0.000 0.000 0.000 5.488" Properties=species:S:1:pos:R:3 pbc="T T T"
K 0.000 0.000 0.000
Sb 2.550 2.550 2.744
S 0.000 2.550 2.744
S 2.550 0.000 2.744
Cl 2.550 2.550 0.000
```

Entry 8:
# KSbS2Cl

A relaxed KSbS2Cl crystal (PBE, Alexandria via LeMat-Bulk).

**ΔE_f (raw)**: 0.703 eV per atom
**Energy**: -2.36 eV per atom
**Mass density**: 2.7 g/cm3
**Relative energy among the computed polymorphs**: 1319 meV/atom

```
5
Lattice="5.482 0.000 0.000 0.000 5.482 0.000 0.000 0.000 5.298" Properties=species:S:1:pos:R:3 pbc="T T T"
K 0.000 0.000 0.000
Sb 2.741 2.741 2.649
S 0.000 2.741 0.000
S 2.741 0.000 0.000
Cl 0.000 0.000 2.649
```

Entry 9:
# KScSCl2

A relaxed KScSCl2 crystal (PBE, Alexandria via LeMat-Bulk).

**ΔE_f (raw)**: -0.232 eV per atom
**Energy**: -3.28 eV per atom
**Mass density**: 2.0 g/cm3
**Relative energy among the computed polymorphs**: 1625 meV/atom

```
5
Lattice="5.283 0.000 0.000 0.000 5.283 0.000 0.000 0.000 5.514" Properties=species:S:1:pos:R:3 pbc="T T T"
K 0.000 0.000 0.000
Sc 2.642 2.642 2.757
S 0.000 0.000 2.757
Cl 0.000 2.642 0.000
Cl 2.642 0.000 0.000
```

Entry 10:
# KSc2SCl

A relaxed KSc2SCl crystal (PBE, Alexandria via LeMat-Bulk).

**ΔE_f (raw)**: 0.788 eV per atom
**Energy**: -3.16 eV per atom
**Mass density**: 2.2 g/cm3

```
5
Lattice="5.488 0.000 0.000 0.000 5.488 0.000 0.000 0.000 5.026" Properties=species:S:1:pos:R:3 pbc="T T T"
K 0.000 0.000 0.000
Sc 0.000 2.744 0.000
Sc 2.744 0.000 0.000
S 2.744 2.744 2.513
Cl 0.000 0.000 2.513
```